Entry 1:
The following is a DFT calculation (PBE-GGA) of a relaxed Nd2Er3Ru2 crystal.

Cell lengths 3.8585, 6.3472, 8.8217 Å; angles 114.57, 90.00, 107.70 degrees
Closest atoms and distances in Å follow each position.
Fractional positions:
Nd (0.8368, 0.6737, 0.1992)  2 Ru 2.85
Nd (0.1632, 0.3263, 0.8008)  2 Ru 2.85
Er (0.5000, 0.0000, 0.0000)  4 Ru 2.94
Er (0.6230, 0.2461, 0.4257)  3 Ru 2.83-2.93
Er (0.3770, 0.7539, 0.5743)  3 Ru 2.83-2.93
Ru (0.8242, 0.6485, 0.7675)  5 Er 2.83-2.94, 2 Nd 2.85
Ru (0.1758, 0.3515, 0.2325)  5 Er 2.83-2.94, 2 Nd 2.85

Properties
As for the calculated volume: 185.2 Å³ per cell. Its space group is No. 12. As for the total energy: -6.275 eV/atom. As for the density of states at the Fermi level: 4.60 states/eV/cell. For the formation energy, the calculation gives -208 kJ/mol of formula units.



Entry 2:
The following is a DFT calculation (PBE-GGA) of a relaxed NdErRu crystal.

Cell lengths 7.6855, 8.6966, 8.8253 Å; angles 119.52, 115.81, 90.00 degrees
Closest atoms and distances in Å follow each position.
Fractional positions:
Nd (0.7526, 0.0435, 0.5869)  5 Ru 3.17-3.18, 6 Er 3.36-3.52
Nd (0.1656, 0.9565, 0.4131)  5 Ru 3.17-3.18, 6 Er 3.36-3.52
Nd (0.3410, 0.7503, 0.0005)  5 Ru 3.17-3.18, 6 Er 3.36-3.52
Nd (0.3405, 0.2497, 0.9995)  5 Ru 3.17-3.18, 6 Er 3.36-3.52
Nd (0.1658, 0.4563, 0.4127)  5 Ru 3.17-3.18, 6 Er 3.36-3.52
Nd (0.7531, 0.5437, 0.5873)  5 Ru 3.17-3.18, 6 Er 3.36-3.52
Er (0.0075, 0.0000, 0.0000)  4 Ru 2.91-2.92
Er (0.0075, 0.5000, 0.0000)  4 Ru 2.91-2.92
Er (0.4991, 0.3731, 0.7457)  4 Ru 2.91-2.92
Er (0.7534, 0.6269, 0.2543)  4 Ru 2.91-2.92
Er (0.7534, 0.1274, 0.2543)  4 Ru 2.91-2.92
Er (0.4991, 0.8726, 0.7457)  4 Ru 2.91-2.92
Ru (0.7534, 0.2498, 0.9996)  6 Er 2.92, 3 Nd 3.17
Ru (0.7537, 0.7502, 0.0004)  6 Er 2.92, 3 Nd 3.17
Ru (0.4201, 0.1669, 0.3332)  3 Er 2.91, 6 Nd 3.17-3.18
Ru (0.0869, 0.8331, 0.6668)  3 Er 2.91, 6 Nd 3.17-3.18
Ru (0.0869, 0.3337, 0.6668)  3 Er 2.91, 6 Nd 3.17-3.18
Ru (0.4201, 0.6663, 0.3332)  3 Er 2.91, 6 Nd 3.17-3.18

Properties
As for the calculated volume: 444.4 Å³ per cell. Its space group is No. 38. As for the total energy: -6.486 eV/atom. As for the density of states at the Fermi level: 9.56 states/eV/cell. For the formation energy, the calculation gives -82 kJ/mol of formula units. The calculation puts the offset from the most stable computed form at 0.0000 eV per atom.



Entry 3:
The following is a DFT calculation (PBE-GGA) of a relaxed NdErRu crystal.

Cell lengths 3.6751, 4.7485, 4.7485 Å; angles 120.00, 90.00, 90.00 degrees
Closest atoms and distances in Å follow each position.
Fractional positions:
Ru (0.3066, 0.6667, 0.3333)  3 Er 2.87, 3 Nd 2.97
Nd (0.6203, 0.3333, 0.6667)  3 Ru 2.97, 3 Er 3.21
Er (0.0731, 0.0000, 0.0000)  3 Ru 2.87, 3 Nd 3.21

Properties
As for the calculated volume: 71.8 Å³ per cell. Its space group is No. 156. As for the total energy: -6.280 eV/atom. As for the density of states at the Fermi level: 1.89 states/eV/cell. For the formation energy, the calculation gives -23 kJ/mol of formula units. The calculation puts the offset from the most stable computed form at 0.2060 eV per atom.



Entry 4:
The following is a DFT calculation (PBE-GGA) of a relaxed Nd3ErRu crystal.

Cell lengths 5.5230, 5.5230, 5.5230 Å; angles 90.00, 90.00, 90.00 degrees
Closest atoms and distances in Å follow each position.
Fractional positions:
Ru (0.0000, 0.0000, 0.0000)  6 Nd 2.76
Nd (0.0000, 0.5000, 0.0000)  2 Ru 2.76
Nd (0.0000, 0.0000, 0.5000)  2 Ru 2.76
Nd (0.5000, 0.0000, 0.0000)  2 Ru 2.76
Er (0.5000, 0.5000, 0.5000)  12 Nd 3.91

Properties
As for the calculated volume: 168.5 Å³ per cell. Its space group is No. 221. As for the total energy: -5.568 eV/atom. As for the density of states at the Fermi level: 8.31 states/eV/cell. For the formation energy, the calculation gives 29 kJ/mol of formula units. The calculation puts the offset from the most stable computed form at 0.1823 eV per atom.



Entry 5:
The following is a DFT calculation (PBE-GGA) of a relaxed Nd4ErRu crystal.

Cell lengths 6.0861, 7.5563, 9.5387 Å; angles 113.34, 108.64, 90.00 degrees
Closest atoms and distances in Å follow each position.
Fractional positions:
Nd (0.1729, 0.6730, 0.3460)  2 Ru 3.25-3.26, 2 Nd 3.60
Nd (0.3839, 0.1337, 0.7675)  2 Ru 3.05-3.06
Nd (0.0000, 0.2075, 0.0000)  2 Ru 2.73
Nd (0.6161, 0.3662, 0.2325)  2 Ru 3.05-3.06
Nd (0.8271, 0.3270, 0.6540)  2 Ru 3.25-3.26, 2 Nd 3.60
Nd (0.6161, 0.8663, 0.2325)  2 Ru 3.05-3.06
Nd (0.0000, 0.7925, 0.0000)  2 Ru 2.73
Nd (0.3839, 0.6338, 0.7675)  2 Ru 3.05-3.06
Er (0.8016, 0.8013, 0.6027)  12 Nd 3.58-3.83
Er (0.1984, 0.1987, 0.3973)  12 Nd 3.58-3.83
Ru (0.2625, 0.5005, 0.0009)  4 Nd 2.73-3.05, 1 Ru 2.90
Ru (0.7375, 0.4995, 0.9991)  4 Nd 2.73-3.05, 1 Ru 2.90

Properties
As for the calculated volume: 377.6 Å³ per cell. Its space group is No. 12. As for the total energy: -5.518 eV/atom. As for the density of states at the Fermi level: 16.62 states/eV/cell. For the formation energy, the calculation gives -19 kJ/mol of formula units.



Entry 6:
The following is a DFT calculation (PBE-GGA) of a relaxed NdErTlRu crystal.

Cell lengths 5.1486, 5.1486, 5.1486 Å; angles 60.00, 60.00, 60.00 degrees
Closest atoms and distances in Å follow each position.
Fractional positions:
Ru (0.7500, 0.7500, 0.7500)  4 Er 3.15, 4 Nd 3.15
Tl (0.2500, 0.2500, 0.2500)  4 Er 3.15, 4 Nd 3.15
Nd (0.0000, 0.0000, 0.0000)  4 Tl 3.15, 4 Ru 3.15
Er (0.5000, 0.5000, 0.5000)  4 Tl 3.15, 4 Ru 3.15

Properties
As for the calculated volume: 96.5 Å³ per cell. Its space group is No. 216. As for the total energy: -5.439 eV/atom. As for the density of states at the Fermi level: 2.21 states/eV/cell. For the formation energy, the calculation gives -75 kJ/mol of formula units.



What is the formula in the fourth record? Nd3ErRu